1.
First-principles (PBE) data for a relaxed structure of YBe2Pt, as listed in Alexandria.

Unit cell a=4.493 b=4.493 c=4.493 alpha=120.18 beta=120.18 gamma=89.69
Atoms (fractional coordinates):
Y 0.750 0.250 0.500
Be 0.000 0.000 0.000
Be 0.250 0.750 0.500
Pt 0.500 0.500 0.000

Properties
energy above the lowest structure with this stoichiometry = 193 kJ/mol of formula units
SG = I-4m2 (119)
formation enthalpy at 0 K = -172 meV per atom



2.
First-principles (PBE) data for a relaxed structure of LiLa4Cd, as listed in Alexandria.

Unit cell a=6.620 b=6.620 c=6.620 alpha=60.00 beta=60.00 gamma=60.00
Atoms (fractional coordinates):
Li 0.750 0.750 0.750
La 0.883 0.372 0.372
La 0.372 0.372 0.883
La 0.372 0.883 0.372
La 0.372 0.372 0.372
Cd 0.000 0.000 0.000

Properties
energy above the lowest structure with this stoichiometry = 0 kJ/mol of formula units
SG = F-43m (216)
formation enthalpy at 0 K = 294 meV per atom



3.
First-principles (PBE) data for a relaxed structure of NaCrSN2, as listed in Alexandria.

Unit cell a=3.700 b=3.700 c=4.890 alpha=90.00 beta=90.00 gamma=90.00
Atoms (fractional coordinates):
Cr 0.000 0.000 0.000
S 0.000 0.000 0.500
N 0.000 0.500 0.000
N 0.500 0.000 0.000
Na 0.500 0.500 0.500

Properties
formation energy from raw total energies = 0.142 eV per atom
energy above the lowest structure with this stoichiometry = 0 kJ/mol of formula units
SG = P4/mmm (123)



4.
First-principles (PBE) data for a relaxed structure of La2SiPb, as listed in Alexandria.

Unit cell a=3.676 b=3.676 c=8.891 alpha=90.00 beta=90.00 gamma=90.00
Atoms (fractional coordinates):
La 0.000 0.000 0.934
La 0.500 0.500 0.294
Pb 0.000 0.000 0.553
Si 0.500 0.500 0.719

Properties
formation energy from raw total energies = -0.087 eV per atom
energy above the lowest structure with this stoichiometry = 183 kJ/mol of formula units
SG = P4mm (99)



5.
First-principles (PBE) data for a relaxed structure of PrDyInIr, as listed in Alexandria.

Unit cell a=5.181 b=5.181 c=5.181 alpha=60.00 beta=60.00 gamma=60.00
Atoms (fractional coordinates):
Pr 0.750 0.750 0.750
Ir 0.000 0.000 0.000
In 0.500 0.500 0.500
Dy 0.250 0.250 0.250

Properties
SG = F-43m (216)
formation enthalpy at 0 K = -446 meV per atom



6.
First-principles (PBE) data for a relaxed structure of Cr8CN2, as listed in Alexandria.

Unit cell a=4.049 b=5.909 c=5.909 alpha=120.00 beta=90.00 gamma=90.00
Atoms (fractional coordinates):
Cr 0.252 0.667 0.333
Cr 0.748 0.333 0.667
Cr 0.714 0.849 0.151
Cr 0.286 0.151 0.302
Cr 0.286 0.698 0.849
Cr 0.286 0.151 0.849
Cr 0.714 0.849 0.698
Cr 0.714 0.302 0.151
C 0.000 0.000 0.000
N 0.249 0.333 0.667
N 0.751 0.667 0.333

Properties
formation energy from raw total energies = -0.046 eV per atom
SG = P-3m1 (164)